Entry 1:
AlTl2Te | PBE-GGA | relaxed

Unit cell a=5.512 b=5.512 c=5.512 alpha=60.00 beta=60.00 gamma=60.00
Atoms (fractional coordinates):
Al 0.500 0.500 0.500
Te 0.750 0.750 0.750
Tl 0.250 0.250 0.250
Tl 0.000 0.000 0.000

Values from the calculation:
- E: -11.0 eV for the cell shown

***

Entry 2:
AlTl2Te | PBE-GGA | relaxed

Unit cell a=3.241 b=3.241 c=10.797 alpha=90.00 beta=90.00 gamma=90.00
Atoms (fractional coordinates):
Te 0.500 0.500 0.750
Al 0.500 0.500 0.250
Tl 0.000 0.000 0.471
Tl 0.000 0.000 0.029

Values from the calculation:
- E: -11.0 eV for the cell shown

***

Entry 3:
AlTl2Te | PBE-GGA | relaxed

Unit cell a=4.055 b=4.504 c=7.185 alpha=71.14 beta=90.00 gamma=90.00
Atoms (fractional coordinates):
Al 0.000 0.709 0.456
Te 0.500 0.571 0.737
Tl 0.500 0.277 0.322
Tl 0.000 0.943 0.985

Values from the calculation:
- E: -11.8 eV for the cell shown

***

Entry 4:
AlTl2Te | PBE-GGA | relaxed

Unit cell a=6.329 b=6.329 c=6.329 alpha=137.04 beta=137.04 gamma=62.38
Atoms (fractional coordinates):
Te 0.750 0.250 0.500
Tl 0.500 0.500 0.000
Tl 0.000 0.000 0.000
Al 0.250 0.750 0.500

Values from the calculation:
- E: -11.4 eV for the cell shown

***

Entry 5:
Al4TlTe | PBE-GGA | relaxed

Unit cell a=5.712 b=5.712 c=5.712 alpha=60.00 beta=60.00 gamma=60.00
Atoms (fractional coordinates):
Al 0.375 0.876 0.375
Al 0.876 0.375 0.375
Al 0.375 0.375 0.375
Al 0.375 0.375 0.876
Te 0.750 0.750 0.750
Tl 0.000 0.000 0.000

Values from the calculation:
- E: -19.2 eV for the cell shown

***

Entry 6:
AlTlTe3 | PBE-GGA | relaxed

Unit cell a=5.434 b=5.434 c=5.434 alpha=90.00 beta=90.00 gamma=90.00
Atoms (fractional coordinates):
Te 0.500 0.000 0.000
Te 0.000 0.000 0.500
Te 0.000 0.500 0.000
Tl 0.500 0.500 0.500
Al 0.000 0.000 0.000

Values from the calculation:
- E: -15.7 eV for the cell shown

***

Entry 7:
AlTl6Te4 | PBE-GGA | relaxed

Unit cell a=7.052 b=11.431 c=11.431 alpha=120.00 beta=90.00 gamma=90.00
Atoms (fractional coordinates):
Tl 0.143 0.491 0.982
Tl 0.643 0.509 0.491
Tl 0.403 0.159 0.841
Tl 0.403 0.681 0.841
Tl 0.143 0.491 0.509
Tl 0.903 0.841 0.159
Tl 0.143 0.018 0.509
Tl 0.643 0.509 0.018
Tl 0.403 0.159 0.319
Tl 0.643 0.982 0.491
Tl 0.903 0.319 0.159
Tl 0.903 0.841 0.681
Te 0.887 0.597 0.799
Te 0.387 0.799 0.201
Te 0.906 0.667 0.333
Te 0.887 0.201 0.403
Te 0.887 0.201 0.799
Te 0.387 0.403 0.201
Te 0.387 0.799 0.597
Te 0.406 0.333 0.667
Al 0.286 0.667 0.333
Al 0.786 0.333 0.667

Values from the calculation:
- E: -67.4 eV for the cell shown

***

Entry 8:
AlTl2Te | PBE-GGA | relaxed

Unit cell a=6.193 b=6.193 c=3.249 alpha=90.00 beta=90.00 gamma=110.61
Atoms (fractional coordinates):
Al 0.500 0.000 0.500
Tl 0.000 0.000 0.000
Tl 0.500 0.500 0.000
Te 0.000 0.500 0.500

Values from the calculation:
- E: -11.1 eV for the cell shown

***

Entry 9:
AlTl2Te | PBE-GGA | relaxed

Unit cell a=4.841 b=4.841 c=5.048 alpha=90.00 beta=90.00 gamma=90.00
Atoms (fractional coordinates):
Al 0.500 0.000 0.500
Tl 0.500 0.500 0.000
Tl 0.000 0.000 0.000
Te 0.000 0.500 0.500

Values from the calculation:
- E: -11.4 eV for the cell shown

***

Entry 10:
AlTl2Te | PBE-GGA | relaxed

Unit cell a=6.760 b=6.760 c=8.116 alpha=65.39 beta=65.39 gamma=90.00
Atoms (fractional coordinates):
Tl 0.160 0.625 0.250
Tl 0.375 0.410 0.750
Tl 0.590 0.125 0.250
Tl 0.875 0.840 0.750
Al 0.250 0.750 0.500
Al 0.500 0.500 0.000
Te 0.750 0.250 0.500
Te 0.000 0.000 0.000

Values from the calculation:
- E: -21.9 eV for the cell shown

***

Entry 11:
AlTlTe3 | PBE-GGA | relaxed

Unit cell a=8.215 b=9.279 c=11.043 alpha=121.52 beta=90.00 gamma=90.00
Atoms (fractional coordinates):
Tl 0.267 0.390 0.404
Tl 0.767 0.110 0.596
Tl 0.233 0.890 0.404
Tl 0.733 0.610 0.596
Te 0.136 0.290 0.649
Te 0.880 0.987 0.835
Te 0.407 0.137 0.908
Te 0.907 0.363 0.092
Te 0.120 0.013 0.165
Te 0.864 0.710 0.351
Te 0.636 0.210 0.351
Te 0.364 0.790 0.649
Te 0.093 0.637 0.908
Te 0.380 0.513 0.165
Te 0.620 0.487 0.835
Te 0.593 0.863 0.092
Al 0.325 0.407 0.881
Al 0.675 0.593 0.119
Al 0.825 0.093 0.119
Al 0.175 0.907 0.881

Values from the calculation:
- E: -67.3 eV for the cell shown

***

Entry 12:
AlTlTe3 | PBE-GGA | relaxed

Unit cell a=5.925 b=7.291 c=9.936 alpha=90.00 beta=112.88 gamma=90.00
Atoms (fractional coordinates):
Te 0.474 0.001 0.647
Te 0.957 0.369 0.324
Te 0.044 0.375 0.881
Te 0.526 0.501 0.353
Te 0.956 0.875 0.119
Te 0.043 0.869 0.676
Al 0.090 0.530 0.127
Al 0.910 0.030 0.873
Tl 0.577 0.975 0.319
Tl 0.423 0.475 0.681

Values from the calculation:
- E: -33.9 eV for the cell shown

***

Entry 13:
AlTl2Te | PBE-GGA | relaxed

Unit cell a=10.867 b=10.867 c=10.867 alpha=18.40 beta=18.40 gamma=18.40
Atoms (fractional coordinates):
Al 0.250 0.250 0.250
Tl 0.505 0.505 0.505
Tl 0.995 0.995 0.995
Te 0.750 0.750 0.750

Values from the calculation:
- E: -10.8 eV for the cell shown

***

Entry 14:
AlTl2Te | PBE-GGA | relaxed

Unit cell a=5.545 b=5.545 c=5.545 alpha=60.00 beta=60.00 gamma=60.00
Atoms (fractional coordinates):
Tl 0.250 0.250 0.250
Tl 0.750 0.750 0.750
Te 0.500 0.500 0.500
Al 0.000 0.000 0.000

Values from the calculation:
- E: -10.9 eV for the cell shown

***

Entry 15:
AlTl2Te | PBE-GGA | relaxed

Unit cell a=4.110 b=4.128 c=6.910 alpha=90.00 beta=90.00 gamma=90.00
Atoms (fractional coordinates):
Tl 0.000 0.000 0.495
Tl 0.000 0.000 0.005
Al 0.500 0.500 0.250
Te 0.500 0.500 0.750

Values from the calculation:
- E: -11.3 eV for the cell shown

***

Entry 16:
Al6TlTe8 | PBE-GGA | relaxed

Unit cell a=7.585 b=7.585 c=7.585 alpha=89.58 beta=89.58 gamma=89.58
Atoms (fractional coordinates):
Te 0.734 0.384 0.129
Te 0.752 0.752 0.752
Te 0.129 0.734 0.384
Te 0.248 0.248 0.248
Te 0.384 0.129 0.734
Te 0.616 0.871 0.266
Te 0.871 0.266 0.616
Te 0.266 0.616 0.871
Al 0.411 0.564 0.221
Al 0.221 0.411 0.564
Al 0.564 0.221 0.411
Al 0.436 0.779 0.589
Al 0.589 0.436 0.779
Al 0.779 0.589 0.436
Tl 0.000 0.000 0.000

Values from the calculation:
- E: -52.7 eV for the cell shown

***

Entry 17:
AlTlTe4 | PBE-GGA | relaxed

Unit cell a=6.493 b=6.493 c=6.493 alpha=60.00 beta=60.00 gamma=60.00
Atoms (fractional coordinates):
Tl 0.750 0.750 0.750
Te 0.375 0.375 0.375
Te 0.375 0.375 0.876
Te 0.876 0.375 0.375
Te 0.375 0.876 0.375
Al 0.000 0.000 0.000

Values from the calculation:
- E: -17.2 eV for the cell shown

***

Entry 18:
AlTlTe3 | PBE-GGA | relaxed

Unit cell a=5.783 b=5.783 c=5.783 alpha=90.00 beta=90.00 gamma=90.00
Atoms (fractional coordinates):
Te 0.000 0.000 0.500
Te 0.500 0.000 0.000
Te 0.000 0.500 0.000
Tl 0.000 0.000 0.000
Al 0.500 0.500 0.500

Values from the calculation:
- E: -12.3 eV for the cell shown

***

Entry 19:
Al2TlTe4 | PBE-GGA | relaxed

Unit cell a=6.033 b=6.033 c=7.186 alpha=90.00 beta=90.00 gamma=90.00
Atoms (fractional coordinates):
Al 0.500 0.000 0.500
Al 0.000 0.500 0.500
Tl 0.000 0.000 0.000
Te 0.721 0.721 0.278
Te 0.721 0.279 0.722
Te 0.279 0.721 0.722
Te 0.279 0.279 0.278

Values from the calculation:
- E: -24.6 eV for the cell shown

***

Entry 20:
Tm2AlTl3Te6 | PBE-GGA | relaxed

Unit cell a=7.521 b=7.521 c=8.522 alpha=98.53 beta=98.53 gamma=119.80
Atoms (fractional coordinates):
Tl 0.825 0.175 0.500
Tl 0.500 0.500 0.500
Tl 0.175 0.825 0.500
Te 0.622 0.934 0.801
Te 0.755 0.755 0.208
Te 0.378 0.066 0.199
Te 0.245 0.245 0.792
Te 0.934 0.622 0.801
Te 0.066 0.378 0.199
Al 0.000 0.000 0.000
Tm 0.335 0.665 0.000
Tm 0.665 0.335 0.000

Values from the calculation:
- E: -48.0 eV for the cell shown